A relaxed TlAgPb crystal. Source: Alexandria via LeMat-Bulk, functional PBE.

extended XYZ file:
```
6
Lattice="3.8629 0.0000 0.0000 -1.8322 5.8408 0.0000 -1.9066 -1.3434 7.1079" Properties=species:S:1:pos:R:3 pbc="T T T"
Tl 0.0000 0.0000 0.0000
Tl -1.8981 2.4743 4.9966
Ag 0.0149 1.5200 2.7811
Ag 0.0191 -0.0545 5.1835
Pb 0.1010 4.8727 2.9661
Pb 1.9534 2.7164 0.8195
```

Summary:
The calculation puts the total DFT energy (no corrections) at -2.902 eV per atom. The calculated formation energy is 7.1 kJ per mole of atoms. The value obtained for the spin magnetization is 0.00 Bohr magnetons per cell.